VASP calculation (GGA-PBE) on CuIr2Au after structural relaxation.

Summary:
* energy above the lowest structure with this stoichiometry: 179.5 meV per atom

a b c (Å): 2.738 4.736 4.674
angles (deg): 90.00 90.49 90.00
Sites, in units of the cell vectors:
Cu: 0.000 0.000 0.000
Ir: 0.249 0.500 0.240
Ir: 0.751 0.500 0.760
Au: 0.500 0.000 0.500

---

VASP calculation (GGA-PBE) on SmY2Ho2Er4 after structural relaxation.

a b c (Å): 6.001 6.644 8.539
angles (deg): 79.10 69.75 63.60
Sites, in units of the cell vectors:
Sm: 0.000 0.000 0.000
Y: 0.267 0.670 0.659
Y: 0.733 0.330 0.341
Ho: 0.183 0.224 0.554
Ho: 0.817 0.776 0.446
Er: 0.270 0.421 0.120
Er: 0.382 0.873 0.237
Er: 0.618 0.127 0.763
Er: 0.730 0.579 0.880

---

VASP calculation (GGA-PBE) on Hf2TlAg after structural relaxation.

a b c (Å): 4.396 4.396 4.330
angles (deg): 90.00 90.00 90.00
Sites, in units of the cell vectors:
Hf: 0.000 0.500 0.000
Hf: 0.500 0.000 0.000
Tl: 0.000 0.000 0.500
Ag: 0.500 0.500 0.500

---

VASP calculation (GGA-PBE) on RbLiP3 after structural relaxation.

Summary:
* energy above the lowest structure with this stoichiometry: 0.0 meV per atom

a b c (Å): 4.720 4.720 4.720
angles (deg): 90.00 90.00 90.00
Sites, in units of the cell vectors:
Rb: 0.000 0.000 0.000
Li: 0.500 0.500 0.500
P: 0.000 0.500 0.500
P: 0.500 0.000 0.500
P: 0.500 0.500 0.000

---

Across the entries above, VASP energy takes the values -23.9; -44.3; -24.8; -16.4 eV/cell, respectively.
Across the entries above, Fermi-level density of states takes the values 4.70; 16.47; 4.28; 3.71 states/eV/cell, respectively.
Across the entries above, energy of formation from the pure elements takes the values 114; 77; 29; 266 kJ/mol of formula units, respectively.